ScCr2Co2 (GGA-PBE, relaxed); VASP energy = -7.796 eV per atom; distance to the lowest polymorph of the same formula = 84 meV/atom; calculated density = 6.87 Mg/m³; SG = P4/mbm; DFT formation energy = 0.16 eV/atom
1.0
7.040 0.000 0.000
0.000 7.040 0.000
0.000 0.000 2.602
Sc Cr Co
2 4 4
direct
0.000 0.000 0.000
0.500 0.500 0.000
0.165 0.665 0.500
0.665 0.835 0.500
0.835 0.335 0.500
0.335 0.165 0.500
0.374 0.874 0.000
0.874 0.626 0.000
0.626 0.126 0.000
0.126 0.374 0.000